Below is an optimized crystal structure of BeFeIr, with properties calculated at the PBEsol level.

- space group = Imm2
- DFT formation energy (eV/atom) = -0.13
- total moment (μB/atom) = 0.00
- polymorph energy (0 for the lowest one) (meV per atom) = 0
- crystal system = orthorhombic

abc: 2.6215 3.4302 4.2288
angles: 113.93 108.06 90.00
Element x y z (fractional)
Ir: 0.3338 0.3338 0.6675
Fe: 0.6652 0.6652 0.3305
Be: 0.0010 0.0010 0.0020

=====

Below is an optimized crystal structure of Be2FeIr, with properties calculated at the PBEsol level.

- space group = P4/mmm
- DFT formation energy (eV/atom) = -0.34
- total moment (μB/atom) = 0.51
- crystal system = tetragonal

abc: 2.7706 3.7969 3.7969
angles: 90.00 90.00 90.00
Element x y z (fractional)
Ir: 0.5000 0.0000 0.0000
Be: 0.0000 0.5000 0.0000
Fe: 0.5000 0.5000 0.5000
Be: 0.0000 0.0000 0.5000

=====

Below is an optimized crystal structure of BeFeIr, with properties calculated at the PBEsol level.

- space group = F-43m
- DFT formation energy (eV/atom) = 0.13
- total moment (μB/atom) = 0.98
- polymorph energy (0 for the lowest one) (meV per atom) = 259
- crystal system = cubic

abc: 3.7086 3.7086 3.7086
angles: 60.00 60.00 60.00
Element x y z (fractional)
Ir: 0.5000 0.5000 0.5000
Be: 0.2500 0.2500 0.2500
Fe: 0.0000 0.0000 0.0000

=====

Below is an optimized crystal structure of BeFeIr, with properties calculated at the PBEsol level.

- space group = P3m1
- DFT formation energy (eV/atom) = -0.09
- total moment (μB/atom) = 0.62
- polymorph energy (0 for the lowest one) (meV per atom) = 42
- crystal system = trigonal

abc: 2.5805 3.8465 3.8465
angles: 120.00 90.00 90.00
Element x y z (fractional)
Be: 0.8137 0.0000 0.0000
Ir: 0.3401 0.6667 0.3333
Fe: 0.8463 0.3333 0.6667